The following is a DFT calculation (PBE+U) of a geometry-optimized DyCoNO structure.

Structure (CIF):
```
data_DyCoNO
_chemical_formula_sum 'Dy2 Co2 N2 O2'
_cell_length_a 3.381
_cell_length_b 5.397
_cell_length_c 5.634
_cell_angle_alpha 90.00
_cell_angle_beta 90.00
_cell_angle_gamma 90.00
_space_group_name_H-M_alt 'P m c 21'
_space_group_IT_number 26
loop_
_space_group_symop_operation_xyz
'x,y,z'
'-x,-y,z+1/2'
'-x,y,z'
'x,-y,z+1/2'
loop_
_atom_site_label
_atom_site_type_symbol
_atom_site_fract_x
_atom_site_fract_y
_atom_site_fract_z
Dy1 Dy 0.000 0.197 0.000
Co1 Co 0.500 0.264 0.530
N1 N 0.500 0.055 0.255
O1 O 0.000 0.417 0.647
```

- energy above the most stable polymorph in this dataset (meV/atom) = 40
- spin magnetization (μB per formula unit) = 3.0
- E (eV per cell) = -56.69
- V (Å³/cell) = 102.8